1.
{"formula": "Ac4GaRu", "functional": "PBE", "state": "relaxed", "relative_energy_mev_per_atom": 0, "delta_e_f_ev_per_fu": -1.468, "lattice_angstrom": [[-1.448, 6.962, 1.133], [-2.900, -2.147, -8.566], [-2.796, -5.796, 7.432]], "species": ["Ac", "Ac", "Ac", "Ac", "Ac", "Ac", "Ac", "Ac", "Ga", "Ga", "Ru", "Ru"], "frac_coords": [[0.862, 0.708, 0.794], [0.114, 0.954, 0.351], [0.665, 0.181, 0.294], [0.350, 0.620, 0.065], [0.650, 0.380, 0.935], [0.335, 0.819, 0.706], [0.886, 0.046, 0.649], [0.138, 0.292, 0.206], [0.715, 0.565, 0.339], [0.285, 0.435, 0.661], [0.319, 0.172, 0.988], [0.681, 0.828, 0.012]]}

***

2.
{"formula": "AcPr2Eu", "functional": "PBE", "state": "relaxed", "relative_energy_mev_per_atom": 91, "delta_e_f_ev_per_fu": 0.528, "lattice_angstrom": [[-2.599, -1.571, -5.265], [-0.691, -5.870, -1.415], [-5.546, -2.486, -0.029]], "species": ["Eu", "Pr", "Pr", "Ac"], "frac_coords": [[0.000, 0.000, 0.000], [0.250, 0.250, 0.250], [0.750, 0.750, 0.750], [0.500, 0.500, 0.500]]}

***

3.
{"formula": "LiZrPb2", "functional": "PBE", "state": "relaxed", "delta_e_f_ev_per_fu": -0.655, "lattice_angstrom": [[-2.794, -1.668, 0.377], [2.220, -3.579, 0.620], [0.152, 1.249, 6.663]], "species": ["Pb", "Pb", "Zr", "Li"], "frac_coords": [[0.000, 0.000, 0.996], [0.000, 0.000, 0.504], [0.500, 0.500, 0.250], [0.500, 0.500, 0.750]]}

***

4.
{"formula": "Mo2HRu", "functional": "PBE", "state": "relaxed", "relative_energy_mev_per_atom": 0, "lattice_angstrom": [[-1.152, -1.510, -2.101], [1.172, -2.455, -0.787], [-3.910, -4.646, 3.575]], "species": ["Mo", "Mo", "H", "Ru"], "frac_coords": [[0.061, 0.061, 0.817], [0.271, 0.271, 0.186], [0.669, 0.669, 0.993], [0.499, 0.499, 0.503]]}

***

5.
{"formula": "Tb5Er12Tl2", "functional": "PBE", "state": "relaxed", "delta_e_f_ev_per_fu": 0.424, "lattice_angstrom": [[9.285, 0.000, 0.000], [-4.642, 7.572, 1.197], [0.000, -1.504, 8.077]], "species": ["Tb", "Tb", "Tb", "Tb", "Tb", "Er", "Er", "Er", "Er", "Er", "Er", "Er", "Er", "Er", "Er", "Er", "Er", "Tl", "Tl"], "frac_coords": [[0.235, 0.470, 0.581], [0.311, 0.622, 0.996], [0.000, 0.000, 0.500], [0.689, 0.378, 0.004], [0.765, 0.530, 0.419], [0.914, 0.828, 0.115], [0.034, 0.699, 0.763], [0.665, 0.699, 0.763], [0.179, 0.749, 0.342], [0.570, 0.749, 0.342], [0.448, 0.895, 0.679], [0.552, 0.105, 0.321], [0.821, 0.251, 0.658], [0.430, 0.251, 0.658], [0.966, 0.301, 0.237], [0.335, 0.301, 0.237], [0.086, 0.172, 0.885], [0.689, 0.000, 0.000], [0.311, 0.000, 0.000]]}

***

6.
{"formula": "Ac3NdBi4", "functional": "PBE", "state": "relaxed", "relative_energy_mev_per_atom": 9, "delta_e_f_ev_per_fu": -7.755, "lattice_angstrom": [[-0.431, -6.645, -1.451], [1.291, -1.507, 6.520], [-6.678, 0.138, 1.354]], "species": ["Ac", "Ac", "Ac", "Nd", "Bi", "Bi", "Bi", "Bi"], "frac_coords": [[0.000, 0.500, 0.500], [0.500, 0.000, 0.500], [0.500, 0.500, 0.000], [0.000, 0.000, 0.000], [0.500, 0.000, 0.000], [0.000, 0.500, 0.000], [0.000, 0.000, 0.500], [0.500, 0.500, 0.500]]}

***

Which formula does entry 6 have?
Ac3NdBi4